# Mn2FeReO6

An optimized crystal structure of Mn2FeReO6 (GGA-PBEsol, the Alexandria database). Values from VASP.

Summary:
SG: P2_1/c, No. 14
Total DFT energy (no corrections), hartree per atom: -0.3161
Raw formation energy, eV/atom: -1.270
Magnetic moment, μB/atom: 0.69

The structure in Quantum ESPRESSO input format:
```
&SYSTEM
  ibrav = 0, nat = 20, ntyp = 4
/
ATOMIC_SPECIES
O 16.00 O.upf
Re 186.21 Re.upf
Mn 54.94 Mn.upf
Fe 55.84 Fe.upf
ATOMIC_POSITIONS crystal
O 0.1833 0.1806 0.4358
O 0.1271 0.4384 0.7534
O 0.8167 0.8194 0.5642
Re 0.5000 0.0000 0.0000
O 0.3729 0.9384 0.7466
Mn 0.5113 0.5519 0.7502
Mn 0.0113 0.9481 0.2502
Fe 0.5000 0.0000 0.5000
Fe 0.0000 0.5000 0.0000
O 0.3238 0.6917 0.4348
Mn 0.4887 0.4481 0.2498
Mn 0.9887 0.0519 0.7498
O 0.6762 0.3083 0.5652
O 0.8729 0.5616 0.2466
O 0.6833 0.3194 0.9358
O 0.6271 0.0616 0.2534
O 0.8238 0.8083 0.9348
O 0.1762 0.1917 0.0652
O 0.3167 0.6806 0.0642
Re 0.0000 0.5000 0.5000
CELL_PARAMETERS angstrom
-1.6872 0.7960 4.6841
-3.5776 -3.7310 -0.6546
4.7420 -5.0064 2.6185
```


# SrCd2P2

An optimized crystal structure of SrCd2P2 (GGA-PBEsol, the Alexandria database). Values from VASP.

Summary:
SG: P-3m1, No. 164
Total DFT energy (no corrections), hartree per atom: -0.1383
E_form, eV/f.u.: -3.00
Magnetic moment, μB/atom: 0.00

The structure in Quantum ESPRESSO input format:
```
&SYSTEM
  ibrav = 0, nat = 5, ntyp = 3
/
ATOMIC_SPECIES
Sr 87.62 Sr.upf
P 30.97 P.upf
Cd 112.41 Cd.upf
ATOMIC_POSITIONS crystal
Sr 0.0000 0.0000 0.0000
P 0.6667 0.3333 0.7479
Cd 0.3333 0.6667 0.6351
P 0.3333 0.6667 0.2521
Cd 0.6667 0.3333 0.3649
CELL_PARAMETERS angstrom
-1.0598 -3.6870 -1.9677
3.0799 2.5206 -1.6582
4.9394 -3.4870 3.8735
```